(1)
DFT (PBE) results for a relaxed NbMoW5 crystal.

a = 11.5472 Å, b = 8.8864 Å, c = 5.1818 Å
α = 90.00°, β = 116.58°, γ = 90.00°
Last column: nearest neighbours and their distance in Å.
Space group C2/c (No. 15)
Asymmetric unit:
Nb (0.0000, 0.0929, 0.2500) [4 per cell]  2 Mo 2.93, 11 W 3.03-3.27, 2 Nb 3.07
Mo (0.2500, 0.2500, 0.5000) [4 per cell]  4 W 2.57
W (0.0000, 0.4358, 0.2500) [4 per cell]  8 W 2.83-3.08, 1 Nb 3.05, 2 Mo 3.06
W (0.1211, 0.2475, 0.8715) [8 per cell]  2 W 2.50-2.66
W (0.2470, 0.4999, 0.2471) [8 per cell]  2 Mo 2.57, 2 W 2.59

## Properties
- density (Mg/m³) = 15.48
- calculated volume (Å³ per cell) = 475.5
- crystal system = monoclinic
- energy of formation from the pure elements (eV per atom) = 0.178



(2)
DFT (PBE) results for a relaxed TePtI2N crystal.

a = 6.0451 Å, b = 6.0451 Å, c = 3.9244 Å
α = 90.00°, β = 90.00°, γ = 90.00°
Last column: nearest neighbours and their distance in Å.
Space group P4/mmm (No. 123)
Asymmetric unit:
Te (0.0000, 0.0000, 0.0000) [1 per cell]  2 N 1.96
Pt (0.5000, 0.5000, 0.5000) [1 per cell]  8 I 3.60, 2 Pt 3.92
I (0.0000, 0.5000, 0.0000) [2 per cell]  2 Te 3.02
N (0.0000, 0.0000, 0.5000) [1 per cell]  2 Te 1.96

## Properties
- density (Mg/m³) = 6.84
- VASP energy (eV per atom) = -2.845
- calculated volume (Å³ per cell) = 143.4
- crystal system = tetragonal



(3)
DFT (PBE) results for a relaxed BeCd3S crystal.

a = 4.7735 Å, b = 4.7735 Å, c = 4.7735 Å
α = 90.00°, β = 90.00°, γ = 90.00°
Last column: nearest neighbours and their distance in Å.
Space group Pm-3m (No. 221)
Asymmetric unit:
Be (0.0000, 0.0000, 0.0000) [1 per cell]  6 Cd 2.39
Cd (0.0000, 0.0000, 0.5000) [3 per cell]  2 Be 2.39
S (0.5000, 0.5000, 0.5000) [1 per cell]  12 Cd 3.38

## Properties
- density (Mg/m³) = 5.78
- VASP energy (eV per atom) = -1.745
- calculated volume (Å³ per cell) = 108.8
- crystal system = cubic



> Which value of density does entry 3 give?

5.78 Mg/m³